# AcAuO3

A relaxed AcAuO3 crystal (GGA-PBE, OQMD).

Cell: 5.8987 6.7500 7.6303 Å, 90.00 90.00 90.00°
Fractional positions:
Ac 0.9713 0.0975 0.2500
Au 0.0000 0.5000 0.0000
O 0.2109 0.1532 0.9498
O 0.7891 0.8468 0.4498
Ac 0.5287 0.5975 0.2500
O 0.2891 0.6532 0.9498
O 0.7109 0.3468 0.4498
O 0.2891 0.6532 0.5502
Au 0.0000 0.5000 0.5000
Ac 0.0287 0.9025 0.7500
O 0.1271 0.4525 0.2500
Au 0.5000 0.0000 0.0000
O 0.6271 0.0475 0.7500
O 0.7109 0.3468 0.0502
O 0.3729 0.9525 0.2500
O 0.7891 0.8468 0.0502
O 0.8729 0.5475 0.7500
O 0.2109 0.1532 0.5502
Au 0.5000 0.0000 0.5000
Ac 0.4713 0.4025 0.7500

Values from the calculation:
- final energy (eV/cell) = -123.9
- SG = No. 62